LiYIr2 | PBE | relaxed

abc: 4.080 4.080 8.174
angles: 90.00 90.00 90.00
Space group I-4m2 (No. 119)
Unique sites:
Li 0.000 0.000 0.000 x2
Y 0.000 0.500 0.750 x2
Ir 0.000 0.000 0.500 x2
Ir 0.000 0.500 0.250 x2

V: 136.0 Å³ per cell
ρ: 11.72 g/cm³
calculated formation energy: -0.20 eV/atom